[1]
Entry from the Alexandria database: a relaxed structure of BaLi2CaTl4 (GGA-PBE).

Results
M_tot in μB per formula unit: 0.00
VASP energy in eV per atom: -2.471
Crystal system: trigonal
Energy of formation from the pure elements in meV/atom: -318

```
BaLi2CaTl4
1.0
4.947 0.000 0.000
2.474 4.284 0.000
2.474 1.428 11.163
Ba Li Tl Ca
1 2 4 1
Cartesian
0.000 0.000 0.000
7.421 4.284 7.790
2.474 1.428 3.373
4.947 2.856 2.232
4.947 2.856 8.932
7.421 4.284 3.886
2.474 1.428 7.277
4.947 2.856 5.582
```

[2]
Entry from the Alexandria database: a relaxed structure of ErTmTh2Se4 (GGA-PBE).

Results
M_tot in μB per formula unit: 0.00
VASP energy in eV per atom: -6.334
Crystal system: monoclinic

```
ErTmTh2Se4
1.0
-0.752 0.456 3.900
-7.396 0.354 -1.467
-2.523 -6.391 0.261
Se Tm Th Er
4 1 2 1
Cartesian
-4.257 -4.432 1.747
-3.370 -0.995 3.565
-6.414 -1.148 0.947
-7.301 -4.586 -0.871
-4.074 0.405 1.217
-2.523 -6.391 0.261
-1.637 -2.968 2.081
-4.960 -3.019 -0.603
```

[3]
Entry from the Alexandria database: a relaxed structure of Pr2NdS4 (GGA-PBE).

Results
M_tot in μB per formula unit: 0.00
VASP energy in eV per atom: -6.423
Crystal system: orthorhombic

```
Pr2NdS4
1.0
3.968 0.000 0.000
-1.984 6.808 0.000
0.000 0.000 13.573
Pr S Nd
4 8 2
Cartesian
1.984 5.046 12.610
1.984 5.046 7.750
0.000 1.762 5.823
0.000 1.762 0.963
1.984 6.488 10.180
0.000 3.034 11.895
1.984 0.000 0.000
0.000 3.034 8.464
1.984 3.774 5.109
0.000 0.320 3.393
1.984 3.774 1.678
1.984 0.000 6.787
1.984 1.720 10.180
0.000 5.088 3.393
```

[4]
Entry from the Alexandria database: a relaxed structure of MgBI (GGA-PBE).

Results
M_tot in μB per formula unit: 0.00
VASP energy in eV per atom: -3.383
Crystal system: monoclinic

```
MgBI
1.0
-3.172 0.602 1.221
-2.340 -2.148 -5.023
-1.118 -11.614 2.821
B I Mg
4 4 4
Cartesian
-4.733 -0.854 -2.120
-1.897 -12.305 1.138
-4.653 -13.078 -0.763
-1.978 -0.081 -0.219
-3.006 -8.193 1.107
-3.624 -4.966 -2.089
-4.039 -3.592 1.033
-2.591 -9.568 -2.015
-5.548 -3.036 -3.160
-1.082 -10.123 2.178
-2.792 -2.263 -1.259
-3.838 -10.896 0.277
```